Sm2ErF8 (PBE-GGA, optimized geometry); DOS(E_F) = 0.15 states/eV per atom; raw formation energy = -3.8325 eV per atom; total magnetization = 0.9 μB per formula unit; total DFT energy (no corrections) = -0.238 Ha/atom
1.0
3.7553 0.0000 0.0000
0.0000 5.5778 -0.1232
-1.8777 -2.5404 7.0813
Sm Er F
2 1 8
Cartesian
1.8777 0.1508 4.5924
0.0000 2.8865 2.3657
1.8777 0.0000 0.0000
0.0000 1.0619 5.7566
1.8777 4.4839 2.3128
1.8777 2.3551 3.7837
1.8777 -1.2252 6.4884
0.0000 0.6823 3.1744
0.0000 -1.4465 4.6454
1.8777 1.9755 1.2016
0.0000 4.2626 0.4697



Nd5SmIn4 (PBE-GGA, optimized geometry); DOS(E_F) = 0.97 states/eV per atom; energy above the lowest structure with this stoichiometry = 2.426 eV/f.u.; total magnetization = 0.0 μB per formula unit; total DFT energy (no corrections) = -0.150 Ha/atom; ΔE_f = -138 meV per atom
1.0
-4.4469 3.0213 -7.0089
5.8552 -3.0235 -5.0183
-4.6339 -8.0757 -0.5411
Nd Sm In
10 2 8
Cartesian
-0.5434 -7.9403 -6.0833
-3.4535 -6.4375 -3.5891
-1.1656 1.2692 -8.9604
2.2739 -3.0305 -5.7543
-0.6362 -1.5277 -3.2602
-0.2550 -2.5213 -9.0525
-3.2001 -1.0005 -6.5284
-2.6708 -3.7975 -0.8282
-5.0167 -4.1665 -6.7406
-2.0717 -5.6872 -9.2647
-2.9399 1.9974 -4.6336
-0.8964 -4.5257 -5.1549
-8.3010 -3.8120 -7.3886
1.3879 -0.3097 -7.2636
-0.5254 0.6783 -5.6237
-5.1304 1.7135 -7.0184
1.2941 -4.2417 -2.7702
0.6310 -5.2421 -7.5433
-3.3109 -3.2066 -4.1648
-0.1692 -6.7920 -2.9411



Ba3Nd (PBE-GGA, optimized geometry); DOS(E_F) = 1.01 states/eV per atom; energy above the lowest structure with this stoichiometry = 0.015 eV/f.u.; total magnetization = 0.0 μB per formula unit; total DFT energy (no corrections) = -0.090 Ha/atom; ΔE_f = 180 meV per atom
1.0
6.6810 0.0000 0.0000
3.3405 5.7859 0.0000
3.3405 1.9286 5.4550
Nd Ba
1 3
Cartesian
6.6810 3.8573 2.7275
0.0000 0.0000 0.0000
10.0215 5.7859 4.0913
3.3405 1.9286 1.3638